First-principles (GGA-PBEsol) data for a relaxed Ta6Co16Si7 crystal, as listed in Alexandria.

Cell: 7.8059 7.8059 7.8059 Å, 60.00 60.00 60.00°
Closest atoms and distances in Å follow each position.
Atoms (fractional coordinates):
Co 0.1665 0.5006 0.1665  3 Si 2.25, 3 Co 2.49
Co 0.3813 0.3813 0.8561  4 Si 2.27-2.43, 3 Co 2.49
Co 0.8335 0.4994 0.8335  3 Si 2.25, 3 Co 2.49
Co 0.6187 0.6187 0.6187  4 Si 2.27-2.43, 3 Co 2.49
Co 0.5006 0.1665 0.1665  3 Si 2.25, 3 Co 2.49
Co 0.6187 0.6187 0.1439  4 Si 2.27-2.43, 3 Co 2.49
Co 0.1665 0.1665 0.5006  3 Si 2.25, 3 Co 2.49
Co 0.3813 0.8561 0.3813  4 Si 2.27-2.43, 3 Co 2.49
Co 0.4994 0.8335 0.8335  3 Si 2.25, 3 Co 2.49
Co 0.1439 0.6187 0.6187  4 Si 2.27-2.43, 3 Co 2.49
Co 0.3813 0.3813 0.3813  4 Si 2.27-2.43, 3 Co 2.49
Co 0.8335 0.8335 0.4994  3 Si 2.25, 3 Co 2.49
Co 0.1665 0.1665 0.1665  3 Si 2.25, 3 Co 2.49
Co 0.6187 0.1439 0.6187  4 Si 2.27-2.43, 3 Co 2.49
Co 0.8335 0.8335 0.8335  3 Si 2.25, 3 Co 2.49
Co 0.8561 0.3813 0.3813  4 Si 2.27-2.43, 3 Co 2.49
Ta 0.7975 0.7975 0.2025  8 Co 2.63-2.71, 4 Si 2.81
Ta 0.7975 0.2025 0.7975  8 Co 2.63-2.71, 4 Si 2.81
Ta 0.2025 0.7975 0.7975  8 Co 2.63-2.71, 4 Si 2.81
Ta 0.7975 0.2025 0.2025  8 Co 2.63-2.71, 4 Si 2.81
Ta 0.2025 0.2025 0.7975  8 Co 2.63-2.71, 4 Si 2.81
Ta 0.2025 0.7975 0.2025  8 Co 2.63-2.71, 4 Si 2.81
Si 0.0000 0.5000 0.0000  8 Co 2.25-2.43
Si 0.5000 0.0000 0.5000  8 Co 2.25-2.43
Si 0.5000 0.5000 0.0000  8 Co 2.25-2.43
Si 0.0000 0.0000 0.5000  8 Co 2.25-2.43
Si 0.0000 0.5000 0.5000  8 Co 2.25-2.43
Si 0.5000 0.0000 0.0000  8 Co 2.25-2.43
Si 0.5000 0.5000 0.5000  8 Co 2.27

Values from the calculation:
E (eV per atom): -8.908
E_form (uncorrected) (eV/atom): -0.655
Symmetry: Fm-3m, No. 225